! FeIrSe2 | the Alexandria database | PBE-GGA | relaxed; values from VASP
! **Formation energy (no corrections)**: 0.413 eV/atom
! **Electronic total energy**: -45.28 eV per cell
! **ρ**: 9.752 g/cm3
! **Energy relative to the lowest polymorph listed for this composition**: 51.68 kJ/mol of atoms
&SYSTEM
  ibrav = 0, nat = 8, ntyp = 3
/
ATOMIC_SPECIES
Fe 55.84 Fe.upf
Ir 192.22 Ir.upf
Se 78.96 Se.upf
CELL_PARAMETERS angstrom
5.4400 0.0000 0.0000
0.0000 7.9211 0.0000
-2.7112 0.0000 3.2086
ATOMIC_POSITIONS angstrom
Fe 0.0000 0.0000 0.0000
Fe 2.7200 3.9605 0.0000
Ir 0.0000 3.9605 0.0000
Ir 2.7200 0.0000 0.0000
Se 0.0044 1.9803 1.6043
Se 0.0044 5.9408 1.6043
Se 2.7244 1.9803 1.6043
Se 2.7244 5.9408 1.6043

---

! FeIrSe2 | the Alexandria database | PBE-GGA | relaxed; values from VASP
! **Formation energy (no corrections)**: 0.155 eV/atom
! **Electronic total energy**: -23.67 eV per cell
! **ρ**: 9.715 g/cm3
! **Energy relative to the lowest polymorph listed for this composition**: 26.76 kJ/mol of atoms
&SYSTEM
  ibrav = 0, nat = 4, ntyp = 3
/
ATOMIC_SPECIES
Fe 55.84 Fe.upf
Ir 192.22 Ir.upf
Se 78.96 Se.upf
CELL_PARAMETERS angstrom
2.9871 0.0000 0.0000
0.0000 2.9871 0.0000
0.0000 0.0000 7.7770
ATOMIC_POSITIONS angstrom
Fe 0.0000 0.0000 0.0000
Ir 1.4935 1.4935 1.8869
Se 0.0000 0.0000 3.3518
Se 1.4935 1.4935 6.4706

---

! Fe3IrSe | the Alexandria database | PBE-GGA | relaxed; values from VASP
! **Formation energy (no corrections)**: 1.119 eV/atom
! **Electronic total energy**: -32.14 eV per cell
! **ρ**: 7.049 g/cm3
! **Energy relative to the lowest polymorph listed for this composition**: 18.27 kJ/mol of atoms
&SYSTEM
  ibrav = 0, nat = 5, ntyp = 3
/
ATOMIC_SPECIES
Fe 55.84 Fe.upf
Ir 192.22 Ir.upf
Se 78.96 Se.upf
CELL_PARAMETERS angstrom
4.6928 0.0000 0.0000
0.0000 4.6928 0.0000
0.0000 0.0000 4.6928
ATOMIC_POSITIONS angstrom
Fe 0.0000 0.0000 2.3464
Fe 0.0000 2.3464 0.0000
Fe 2.3464 0.0000 0.0000
Ir 0.0000 0.0000 0.0000
Se 2.3464 2.3464 2.3464

---

! FeIrSe2 | the Alexandria database | PBE-GGA | relaxed; values from VASP
! **Formation energy (no corrections)**: 0.260 eV/atom
! **Electronic total energy**: -46.51 eV per cell
! **ρ**: 10.136 g/cm3
! **Energy relative to the lowest polymorph listed for this composition**: 36.83 kJ/mol of atoms
&SYSTEM
  ibrav = 0, nat = 8, ntyp = 3
/
ATOMIC_SPECIES
Fe 55.84 Fe.upf
Ir 192.22 Ir.upf
Se 78.96 Se.upf
CELL_PARAMETERS angstrom
7.4348 0.0000 0.0000
0.0000 3.1531 0.0000
-1.5073 0.0000 5.6743
ATOMIC_POSITIONS angstrom
Fe 0.0000 0.0000 0.0000
Fe 3.7174 1.5766 0.0000
Ir -0.7537 1.5766 2.8371
Ir 2.9637 0.0000 2.8371
Se 1.3384 1.5766 1.4106
Se 0.8717 0.0000 4.2637
Se 5.0558 0.0000 1.4106
Se 4.5890 1.5766 4.2637

---

! FeIrSe2 | the Alexandria database | PBE-GGA | relaxed; values from VASP
! **Formation energy (no corrections)**: 0.400 eV/atom
! **Electronic total energy**: -45.39 eV per cell
! **ρ**: 10.432 g/cm3
! **Energy relative to the lowest polymorph listed for this composition**: 50.37 kJ/mol of atoms
&SYSTEM
  ibrav = 0, nat = 8, ntyp = 3
/
ATOMIC_SPECIES
Fe 55.84 Fe.upf
Ir 192.22 Ir.upf
Se 78.96 Se.upf
CELL_PARAMETERS angstrom
2.9490 0.0000 0.0000
0.0000 4.5502 0.0000
0.0000 0.0000 9.6318
ATOMIC_POSITIONS angstrom
Fe 0.0000 0.0000 0.0000
Fe 1.4745 2.2751 4.8159
Ir 0.0000 2.2751 7.1609
Ir 1.4745 0.0000 2.3451
Se 0.0000 0.0000 4.5265
Se 0.0000 2.2751 2.5353
Se 1.4745 0.0000 7.3511
Se 1.4745 2.2751 9.3424

---

! FeIrSe2 | the Alexandria database | PBE-GGA | relaxed; values from VASP
! **Formation energy (no corrections)**: 0.374 eV/atom
! **Electronic total energy**: -22.80 eV per cell
! **ρ**: 11.009 g/cm3
! **Energy relative to the lowest polymorph listed for this composition**: 47.88 kJ/mol of atoms
&SYSTEM
  ibrav = 0, nat = 4, ntyp = 3
/
ATOMIC_SPECIES
Fe 55.84 Fe.upf
Ir 192.22 Ir.upf
Se 78.96 Se.upf
CELL_PARAMETERS angstrom
3.1124 0.0000 0.0000
0.0000 3.1124 0.0000
0.0000 0.0000 6.3218
ATOMIC_POSITIONS angstrom
Fe 0.0000 0.0000 0.0000
Ir 0.0000 0.0000 3.1609
Se 1.5562 1.5562 1.5004
Se 1.5562 1.5562 4.8214